Computed, not measured: a relaxed CePmPdRu crystal at the PBE level of DFT.

Computed properties:
ΔE to the lowest computed polymorph	88	meV/atom
energy of formation	-179	kJ/mol of formula units
magnetic moment	0.13	μB per atom
N(E_F)	1.18	states/eV per atom

extended XYZ file:
```
4
Lattice="0.000 3.527 3.527 3.527 0.000 3.527 3.527 3.527 0.000" Properties=species:S:1:pos:R:3 pbc="T T T"
Ce 0.000 0.000 0.000
Pm 3.527 3.527 3.527
Pd 1.763 1.763 1.763
Ru 5.290 5.290 5.290
```

=====

Computed, not measured: a relaxed MgAl2V crystal at the PBE level of DFT.

Computed properties:
energy of formation	-5	kJ/mol of formula units
magnetic moment	0.14	μB per atom
N(E_F)	0.70	states/eV per atom

extended XYZ file:
```
4
Lattice="4.041 0.000 0.000 0.000 4.041 0.000 0.000 0.000 3.913" Properties=species:S:1:pos:R:3 pbc="T T T"
Mg 0.000 0.000 0.000
Al 0.000 2.021 1.956
Al 2.021 0.000 1.956
V 2.021 2.021 0.000
```

=====

Computed, not measured: a relaxed LiTbGdLu crystal at the PBE level of DFT.

Computed properties:
energy of formation	59	kJ/mol of formula units
magnetic moment	1.81	μB per atom
N(E_F)	0.92	states/eV per atom

extended XYZ file:
```
4
Lattice="0.000 3.853 3.853 3.853 0.000 3.853 3.853 3.853 0.000" Properties=species:S:1:pos:R:3 pbc="T T T"
Li 0.000 0.000 0.000
Tb 1.927 1.927 1.927
Gd 5.780 5.780 5.780
Lu 3.853 3.853 3.853
```

=====

Computed, not measured: a relaxed GdPaGe crystal at the PBE level of DFT.

Computed properties:
energy of formation	-2	kJ/mol of formula units
magnetic moment	2.72	μB per atom
N(E_F)	2.04	states/eV per atom

extended XYZ file:
```
3
Lattice="4.975 0.000 0.000 -2.488 4.309 0.000 0.000 0.000 3.467" Properties=species:S:1:pos:R:3 pbc="T T T"
Gd 0.000 0.000 0.000
Pa 0.000 2.872 1.571
Ge 2.488 1.436 2.552
```

=====

Computed, not measured: a relaxed SrIn2I8 crystal at the PBE level of DFT.

Computed properties:
E_form (uncorrected)	-0.824	eV/atom
magnetic moment	0.00	μB per atom
N(E_F)	0.00	states/eV per atom

extended XYZ file:
```
11
Lattice="7.245 -5.726 0.000 7.245 5.726 0.000 -1.186 0.000 7.404" Properties=species:S:1:pos:R:3 pbc="T T T"
Sr 0.000 0.000 0.000
In 2.173 0.000 4.894
In 11.131 0.000 2.511
I 5.452 3.541 1.744
I 2.577 0.000 2.139
I 7.853 3.541 5.661
I 4.615 0.000 6.075
I 8.690 0.000 1.329
I 5.452 -3.541 1.744
I 10.728 0.000 5.266
I 7.853 -3.541 5.661
```

=====

Computed, not measured: a relaxed NaB4Rh6 crystal at the PBE level of DFT.

Computed properties:
energy of formation	-110	kJ/mol of formula units
magnetic moment	0.00	μB per atom
N(E_F)	0.72	states/eV per atom

extended XYZ file:
```
11
Lattice="4.012 -4.001 0.000 4.012 4.001 0.000 -3.940 0.000 4.022" Properties=species:S:1:pos:R:3 pbc="T T T"
Na 0.000 0.000 0.000
B -1.130 0.000 3.392
B 4.056 1.279 0.572
B 1.429 0.000 3.493
B 4.056 -1.279 0.572
Rh -1.914 1.961 4.016
Rh 0.134 1.403 2.297
Rh 0.134 -1.403 2.297
Rh -1.914 -1.961 4.016
Rh 2.681 0.000 1.719
Rh 5.491 0.000 1.724
```